# 1
ScTaMo4 | meta-GGA SCAN | single point on PBEsol structure

Cell lengths 5.2461, 5.2461, 5.2461 Å; angles 60.00, 60.00, 60.00 degrees
Fractional positions:
Sc 0.7500 0.7500 0.7500
Mo 0.3749 0.3749 0.3749
Mo 0.3749 0.3749 0.8753
Mo 0.8753 0.3749 0.3749
Mo 0.3749 0.8753 0.3749
Ta 0.0000 0.0000 0.0000

Properties
formation energy from the elements: -0.1 eV per formula unit
magnetic moment: 0.0 μB per cell

---

# 2
LaCoGe | meta-GGA SCAN | single point on PBEsol structure

Cell lengths 4.1229, 4.1229, 6.9705 Å; angles 90.00, 90.00, 90.00 degrees
Fractional positions:
Ge 0.0000 0.5000 0.3247
Ge 0.5000 0.0000 0.6753
Co 0.5000 0.5000 0.5000
Co 0.0000 0.0000 0.5000
La 0.0000 0.5000 0.8108
La 0.5000 0.0000 0.1892

Properties
formation energy from the elements: -1.9 eV per formula unit
magnetic moment: 0.8 μB per cell

---

Which value of formation energy from the elements does entry 1 give?
-0.1 eV per formula unit

---

What is the formula in the second record?
LaCoGe